[1]
DFT (SCAN) results for a PBEsol-optimized structure of TaTeCl2.

The structure belongs to space group P4mm (No. 99); the cell edges are 3.165, 3.165 and 8.114 Å and the angles 90.00°, 90.00° and 90.00°. The inequivalent atoms are Ta at (0.000, 0.000, 0.000), Te at (0.500, 0.500, 0.228), Cl at (0.000, 0.000, 0.508) and Cl at (0.500, 0.500, 0.815).

The calculation puts the excess energy over the best structure of this formula in the dataset at 373 meV/atom.


[2]
DFT (SCAN) results for a PBEsol-optimized structure of Ta2TeCl.

The structure belongs to space group Cmmm (No. 65); the cell edges are 3.048, 5.595 and 8.977 Å and the angles 90.00°, 90.00° and 90.00°. The inequivalent atoms are Ta at (0.000, 0.000, 0.242), Te at (0.000, 0.500, 0.500) and Cl at (0.000, 0.500, 0.000).

The calculation puts the excess energy over the best structure of this formula in the dataset at 358 meV/atom.


[3]
DFT (SCAN) results for a PBEsol-optimized structure of TaTe2Cl.

The structure belongs to space group P4/mmm (No. 123); the cell edges are 4.261, 4.261 and 4.906 Å and the angles 90.00°, 90.00° and 90.00°. The inequivalent atoms are Ta at (0.000, 0.000, 0.000), Te at (0.000, 0.500, 0.500) and Cl at (0.500, 0.500, 0.000).

The calculation puts the excess energy over the best structure of this formula in the dataset at 959 meV/atom.


[4]
DFT (SCAN) results for a PBEsol-optimized structure of Ta3Tl2Cl9.

The structure belongs to space group C2/m (No. 12); the cell edges are 10.316, 16.105 and 9.455 Å and the angles 90.00°, 116.32° and 90.00°. The inequivalent atoms are Ta at (0.111, 0.000, 0.367), Ta at (0.134, 0.089, 0.641), Tl at (0.106, 0.342, 0.828), Cl at (0.000, 0.213, 0.500), Cl at (0.028, 0.107, 0.825), Cl at (0.178, 0.500, 0.163), Cl at (0.195, 0.298, 0.177), Cl at (0.209, 0.393, 0.489) and Cl at (0.249, 0.500, 0.797).


[5]
DFT (SCAN) results for a PBEsol-optimized structure of TaTlCl6.

The structure belongs to space group C2/c (No. 15); the cell edges are 10.904, 7.647 and 10.842 Å and the angles 90.00°, 92.62° and 90.00°. The inequivalent atoms are Ta at (0.250, 0.250, 0.000), Tl at (0.000, 0.005, 0.750), Cl at (0.067, 0.349, 0.904), Cl at (0.167, 0.035, 0.509) and Cl at (0.175, 0.316, 0.195).


[6]
DFT (SCAN) results for a PBEsol-optimized structure of Ta2TlCl.

The structure belongs to space group I-4m2 (No. 119); the cell edges are 4.150, 4.150 and 8.755 Å and the angles 90.00°, 90.00° and 90.00°. The inequivalent atoms are Ta at (0.000, 0.000, 0.000), Ta at (0.000, 0.500, 0.250), Tl at (0.000, 0.000, 0.500) and Cl at (0.000, 0.500, 0.750).

The calculation puts the excess energy over the best structure of this formula in the dataset at 259 meV/atom.


[7]
DFT (SCAN) results for a PBEsol-optimized structure of Ta3TlCl.

The structure belongs to space group Pm-3m (No. 221); the cell edges are 4.527, 4.527 and 4.527 Å and the angles 90.00°, 90.00° and 90.00°. The inequivalent atoms are Ta at (0.000, 0.000, 0.500), Tl at (0.500, 0.500, 0.500) and Cl at (0.000, 0.000, 0.000).


[8]
DFT (SCAN) results for a PBEsol-optimized structure of Ta2TlCl.

The structure belongs to space group C2/m (No. 12); the cell edges are 5.590, 10.424 and 3.129 Å and the angles 90.00°, 120.06° and 90.00°. The inequivalent atoms are Ta at (0.250, 0.250, 0.000), Tl at (0.000, 0.000, 0.000) and Cl at (0.000, 0.500, 0.000).

The calculation puts the excess energy over the best structure of this formula in the dataset at 0 meV/atom.


Record order is preserved below.
Formation energy (no corrections): -0.9 2.1 2.5 -18.6 -11.3 3.5 5.1 2.5 eV/f.u.
Record order is preserved below.
Magnetic moment: 0.002 0.000 2.310 0.000 0.000 0.002 0.000 0.000 μB per formula unit